Below is crystalline SrTe2Os at its relaxed geometry, with properties calculated at the PBE level.

As for the crystal system: orthorhombic.

The structure belongs to space group Cmmm (No. 65); the cell edges are 6.3155, 8.7552 and 4.1261 Å and the angles 90.00°, 90.00° and 90.00°. The asymmetric unit holds Sr at (0.0000, 0.0000, 0.0000), Te at (0.0000, 0.3139, 0.5000) and Os at (0.0000, 0.5000, 0.0000).

---

Below is crystalline SrTe2Os at its relaxed geometry, with properties calculated at the PBE level.

As for the crystal system: tetragonal.

The structure belongs to space group I-4m2 (No. 119); the cell edges are 4.3494, 4.3494 and 10.4201 Å and the angles 90.00°, 90.00° and 90.00°. The asymmetric unit holds Sr at (0.0000, 0.0000, 0.0000), Te at (0.0000, 0.0000, 0.5000), Te at (0.0000, 0.5000, 0.7500) and Os at (0.0000, 0.5000, 0.2500).

---

Below is crystalline SrTe2Os at its relaxed geometry, with properties calculated at the PBE level.

As for the crystal system: monoclinic.

The structure belongs to space group Cm (No. 8); the cell edges are 11.0530, 4.0557 and 5.8795 Å and the angles 90.00°, 116.48° and 90.00°. The asymmetric unit holds Sr at (0.0000, 0.0000, 0.0000), Te at (0.1535, 0.5000, 0.7192), Te at (0.3175, 0.5000, 0.3575) and Os at (0.2442, 0.0000, 0.5603).

---

Below is crystalline SrTe2Os at its relaxed geometry, with properties calculated at the PBE level.

As for the crystal system: orthorhombic.

The structure belongs to space group Amm2 (No. 38); the cell edges are 4.1341, 4.8373 and 12.8623 Å and the angles 90.00°, 90.00° and 90.00°. The asymmetric unit holds Sr at (0.0000, 0.0000, 0.0000), Te at (0.0000, 0.0000, 0.7009), Te at (0.5000, 0.0000, 0.3888) and Os at (0.5000, 0.0000, 0.5867).

---

Below is crystalline SrTeOs at its relaxed geometry, with properties calculated at the PBE level.

As for the crystal system: orthorhombic.

The structure belongs to space group Imm2 (No. 44); the cell edges are 3.3427, 3.7047 and 11.8598 Å and the angles 90.00°, 90.00° and 90.00°. The asymmetric unit holds Sr at (0.0000, 0.0000, 0.0000), Te at (0.0000, 0.0000, 0.2831) and Os at (0.0000, 0.0000, 0.6893).

---

Below is crystalline SrTeOs at its relaxed geometry, with properties calculated at the PBE level.

As for the crystal system: cubic.

The structure belongs to space group F-43m (No. 216); the cell edges are 6.7653, 6.7653 and 6.7653 Å and the angles 90.00°, 90.00° and 90.00°. The asymmetric unit holds Sr at (0.0000, 0.0000, 0.0000), Te at (0.0000, 0.0000, 0.5000) and Os at (0.2500, 0.2500, 0.7500).

---

Below is crystalline Sr2TeOs at its relaxed geometry, with properties calculated at the PBE level.

As for the crystal system: orthorhombic.

The structure belongs to space group Pmmm (No. 47); the cell edges are 3.9821, 4.0134 and 6.9280 Å and the angles 90.00°, 90.00° and 90.00°. The asymmetric unit holds Sr at (0.0000, 0.0000, 0.2369), Te at (0.5000, 0.5000, 0.5000) and Os at (0.5000, 0.5000, 0.0000).

---

Below is crystalline SrTe2Os at its relaxed geometry, with properties calculated at the PBE level.

As for the crystal system: cubic.

The structure belongs to space group Fm-3m (No. 225); the cell edges are 7.2737, 7.2737 and 7.2737 Å and the angles 90.00°, 90.00° and 90.00°. The asymmetric unit holds Sr at (0.0000, 0.0000, 0.0000), Te at (0.2500, 0.2500, 0.2500) and Os at (0.0000, 0.0000, 0.5000).

---

We obtain density values of 7.8 9.0 7.5 6.9 9.2 8.7 7.4 9.2 Mg/m³ for the records listed above, in that order.
We obtain E values of -5.06 -4.42 -5.03 -4.94 -5.15 -4.99 -4.42 -4.59 eV per atom for the records listed above, in that order.